1.
MnCrW2 after structural relaxation, computed with PBE-GGA.

Properties
The energy above the most stable polymorph in this dataset comes out at 0.051 eV/atom. Its crystal system is orthorhombic. For the total energy, the calculation gives -44.22 eV per formula unit. The volume is 13.8 A^3/atom.

a = 3.0351 Å, b = 4.2482 Å, c = 8.5834 Å
α = 90.00°, β = 90.00°, γ = 90.00°
Last column: nearest neighbours and their distance in Å.
Space group Imm2 (No. 44)
Symmetry-distinct sites (fractional):
Mn: 0.0000 0.0000 0.0000  6 W 2.61-2.62, 2 Cr 2.65
Cr: 0.0000 0.5000 0.2473  6 W 2.58-2.61, 2 Mn 2.65
W: 0.0000 0.0000 0.5046  2 Cr 2.58, 4 Mn 2.61, 2 W 2.66
W: 0.0000 0.5000 0.7494  4 Cr 2.61, 2 Mn 2.62, 2 W 2.66

---

2.
Ac6SiIr2Cl3 after structural relaxation, computed with PBE-GGA.

Properties
Its crystal system is monoclinic. For the total energy, the calculation gives -68.00 eV per formula unit. The volume is 33.0 A^3/atom. For the formation energy from raw total energies, the calculation gives -14.66 eV per formula unit.

a = 20.1033 Å, b = 4.3922 Å, c = 9.3804 Å
α = 90.00°, β = 106.74°, γ = 90.00°
Last column: nearest neighbours and their distance in Å.
Space group C2/m (No. 12)
Symmetry-distinct sites (fractional):
Ac: 0.0152 0.0000 0.2419  1 Ir 2.95, 2 Si 3.11, 1 Cl 3.28
Ac: 0.1623 0.5000 0.1178  2 Ir 2.98, 1 Si 3.13
Ac: 0.1775 0.5000 0.5574  3 Ir 2.96-2.99
Si: 0.0000 0.5000 0.0000  6 Ac 3.11-3.13
Ir: 0.1686 0.0000 0.3364  6 Ac 2.95-2.99
Cl: 0.0000 0.5000 0.5000  6 Ac 3.35-3.45
Cl: 0.1548 0.0000 0.8370  6 Ac 3.28-3.58

---

3.
PrInGa after structural relaxation, computed with PBE-GGA.

Properties
The energy above the most stable polymorph in this dataset comes out at 0.221 eV/atom. Its crystal system is orthorhombic. For the total energy, the calculation gives -11.48 eV per formula unit. The volume is 28.2 A^3/atom.

a = 3.7365 Å, b = 17.8716 Å, c = 5.0646 Å
α = 90.00°, β = 90.00°, γ = 90.00°
Last column: nearest neighbours and their distance in Å.
Space group Cmcm (No. 63)
Symmetry-distinct sites (fractional):
Pr: 0.0000 0.1634 0.2500  5 Ga 3.05-3.15, 2 In 3.37
In: 0.0000 0.0386 0.7500  2 In 2.88, 2 Ga 2.94
Ga: 0.0000 0.3343 0.2500  2 In 2.94, 5 Pr 3.05-3.15

---

4.
CaScPb after structural relaxation, computed with PBE-GGA.

Properties
Its crystal system is tetragonal. For the total energy, the calculation gives -13.39 eV per formula unit. The volume is 29.5 A^3/atom.

a = 4.6772 Å, b = 4.6772 Å, c = 8.0896 Å
α = 90.00°, β = 90.00°, γ = 90.00°
Last column: nearest neighbours and their distance in Å.
Space group P4/nmm (No. 129, origin choice 2)
Symmetry-distinct sites (fractional):
Ca: 0.2500 0.2500 0.1525  5 Pb 3.30-3.41, 4 Sc 3.66
Sc: 0.2500 0.7500 0.5000  4 Pb 3.07, 4 Sc 3.31
Pb: 0.2500 0.2500 0.7451  4 Sc 3.07, 5 Ca 3.30-3.41